Density functional theory data (PBE-GGA) for a relaxed structure of PuFeMo.

Calculated values
DFT formation energy: 0.858 eV/atom
Volume: 17.062 A^3/atom

a = 5.894 Å, b = 5.894 Å, c = 5.894 Å
α = 90.00°, β = 90.00°, γ = 90.00°
Space group F-43m (No. 216)
Unique sites:
Pu1 0.000 0.000 0.000 [4 per cell]
Fe1 0.250 0.250 0.250 [4 per cell]
Mo1 0.000 0.000 0.500 [4 per cell]